(1)
FeSb2Cl2: optimized geometry, PBE-GGA.

Properties
Symmetry: I4/mmm, No. 139
Crystal system: tetragonal
Formation energy (no corrections), eV/atom: 0.471

Lattice parameters (Å, degrees): 6.0746 6.0746 7.1777 90.00 90.00 90.00
Closest atoms and distances in Å follow each position.
Fractional coordinates of all 10 atoms:
1 Fe 0.0000 0.0000 0.0000  2 Cl 2.15
2 Fe 0.5000 0.5000 0.5000  2 Cl 2.15
3 Sb 0.0000 0.5000 0.2500  4 Cl 3.06
4 Sb 0.0000 0.5000 0.7500  4 Cl 3.06
5 Sb 0.5000 0.0000 0.2500  4 Cl 3.06
6 Sb 0.5000 0.0000 0.7500  4 Cl 3.06
7 Cl 0.0000 0.0000 0.2999  1 Fe 2.15
8 Cl 0.0000 0.0000 0.7001  1 Fe 2.15
9 Cl 0.5000 0.5000 0.2001  1 Fe 2.15
10 Cl 0.5000 0.5000 0.7999  1 Fe 2.15

***

(2)
SnBi5Pt3: optimized geometry, PBE-GGA.

Properties
Symmetry: P2/m, No. 10
Crystal system: monoclinic
Calculated formation energy, eV per atom: -0.293

Lattice parameters (Å, degrees): 6.8926 4.1814 16.8172 90.00 90.56 90.00
Closest atoms and distances in Å follow each position.
Fractional coordinates of all 18 atoms:
1 Sn 0.1448 0.0000 0.2602  3 Pt 2.70-2.73
2 Sn 0.8552 0.0000 0.7398  3 Pt 2.70-2.73
3 Bi 0.1296 0.0000 0.5983  3 Pt 2.81-2.82, 1 Sn 3.05
4 Bi 0.1351 0.0000 0.9266  3 Pt 2.79-2.83, 1 Bi 3.11
5 Bi 0.3578 0.5000 0.7588  3 Pt 2.78-2.80, 1 Bi 3.08
6 Bi 0.3599 0.5000 0.4277  3 Pt 2.77-2.79, 1 Bi 3.09
7 Bi 0.3653 0.5000 0.0959  3 Pt 2.79-2.80, 1 Bi 3.08
8 Bi 0.6347 0.5000 0.9041  3 Pt 2.79-2.80, 1 Bi 3.08
9 Bi 0.6401 0.5000 0.5723  3 Pt 2.77-2.79, 1 Bi 3.09
10 Bi 0.6422 0.5000 0.2412  3 Pt 2.78-2.80, 1 Bi 3.08
11 Bi 0.8649 0.0000 0.0734  3 Pt 2.79-2.83, 1 Bi 3.11
12 Bi 0.8704 0.0000 0.4017  3 Pt 2.81-2.82, 1 Sn 3.05
13 Pt 0.0000 0.5000 0.5000  6 Bi 2.77-2.81
14 Pt 0.0068 0.5000 0.1714  2 Sn 2.73, 4 Bi 2.78-2.83
15 Pt 0.4947 0.0000 0.3334  1 Sn 2.70, 5 Bi 2.79-2.82
16 Pt 0.5000 0.0000 0.0000  6 Bi 2.79-2.80
17 Pt 0.5053 0.0000 0.6666  1 Sn 2.70, 5 Bi 2.79-2.82
18 Pt 0.9932 0.5000 0.8286  2 Sn 2.73, 4 Bi 2.78-2.83